(1)
CuSClO | PBE | relaxed

Summary:
space group: No. 1
total magnetization: 0.0 μB/cell
E_form (uncorrected): -0.502 eV per atom
density of states at the Fermi level: 0.0 states/eV/f.u.

Unit cell a=6.9149 b=4.7491 c=5.4842 alpha=78.32 beta=76.30 gamma=111.31
Closest atoms and distances in Å follow each position.
Fractional positions:
Cl: 0.7708 0.1378 0.3660  2 Cu 2.19-2.33
O: 0.7136 0.7249 0.9750  1 S 1.51
O: 0.2397 0.2697 0.9797  1 S 1.52
Cl: 0.2307 0.7099 0.4170  2 Cu 2.21-2.28
Cu: 0.5662 0.0087 0.0901  1 O 2.07, 1 Cl 2.28, 2 S 2.29-2.31
S: 0.4175 0.2106 0.8067  1 O 1.52
Cu: 0.0085 0.9329 0.3546  1 O 2.14, 2 Cl 2.19-2.21
S: 0.7416 0.5237 0.8003  1 O 1.51

=====

(2)
CuSClO | PBE | relaxed

Summary:
space group: No. 1
total magnetization: 0.7 μB/cell
E_form (uncorrected): -0.561 eV per atom
density of states at the Fermi level: 1.3 states/eV/f.u.

Unit cell a=7.7857 b=7.3973 c=3.2761 alpha=106.39 beta=80.83 gamma=75.51
Closest atoms and distances in Å follow each position.
Fractional positions:
S: 0.5373 0.0398 0.6472  2 O 1.45-1.46
O: 0.4402 0.2261 0.6084  1 S 1.45
O: 0.7103 0.9276 0.3204  1 S 1.46
Cu: 0.8881 0.5211 0.9956  2 Cl 2.27, 2 S 2.31
Cl: 0.1308 0.9692 0.6857  2 Cu 2.28-2.29
Cu: 0.1020 0.7567 0.0629  2 Cl 2.28-2.29, 2 S 2.31-2.32
Cl: 0.6926 0.4940 0.5525  2 Cu 2.27
S: 0.0973 0.5279 0.4209  4 Cu 2.31-2.32

=====

(3)
CuSClO | PBE | relaxed

Summary:
space group: No. 1
total magnetization: 0.0 μB/cell
E_form (uncorrected): -0.517 eV per atom
density of states at the Fermi level: 0.0 states/eV/f.u.

Unit cell a=5.2218 b=5.3377 c=6.0438 alpha=91.67 beta=107.86 gamma=102.88
Closest atoms and distances in Å follow each position.
Fractional positions:
S: 0.6637 0.4616 0.9633  2 Cu 2.12-2.18, 1 Cl 2.18
Cl: 0.2849 0.1608 0.3574  2 Cu 2.19-2.29
O: 0.9547 0.9734 0.7619  1 S 1.49
S: 0.8010 0.7195 0.6238  2 O 1.49
O: 0.9875 0.5722 0.5680  1 S 1.49
Cu: 0.3219 0.1552 0.9888  1 O 1.99, 1 S 2.18
Cu: 0.9802 0.3932 0.2542  1 O 2.08, 1 S 2.12, 1 Cl 2.19
Cl: 0.5437 0.7938 0.0809  1 S 2.18

=====

(4)
CuSClO | PBE | relaxed

Summary:
space group: No. 1
total magnetization: 0.0 μB/cell
E_form (uncorrected): -0.512 eV per atom
density of states at the Fermi level: 0.0 states/eV/f.u.

Unit cell a=5.2959 b=5.2601 c=6.9483 alpha=100.32 beta=101.92 gamma=87.82
Closest atoms and distances in Å follow each position.
Fractional positions:
Cl: 0.6740 0.7641 0.0474  1 S 2.17
S: 0.6034 0.3519 0.9533  2 Cu 2.13-2.14, 1 Cl 2.17
Cu: 0.4180 0.2482 0.1717  1 S 2.13, 1 Cl 2.16
S: 0.8492 0.7943 0.6291  2 O 1.45
O: 0.7308 0.5496 0.5247  1 S 1.45
Cl: 0.2315 0.1190 0.3848  2 Cu 2.16
Cu: 0.9131 0.2113 0.1585  1 S 2.14, 1 Cl 2.16
O: 0.1176 0.7899 0.7290  1 S 1.45

=====

(5)
CuSClO | PBE | relaxed

Summary:
space group: No. 1
total magnetization: 0.0 μB/cell
E_form (uncorrected): -0.501 eV per atom
density of states at the Fermi level: 0.0 states/eV/f.u.

Unit cell a=6.8446 b=5.1219 c=6.1306 alpha=86.30 beta=99.22 gamma=120.24
Closest atoms and distances in Å follow each position.
Fractional positions:
Cu: 0.4520 0.6398 0.1638  1 S 2.13, 1 Cl 2.18
S: 0.9278 0.7208 0.6799  2 O 1.46
O: 0.8128 0.5632 0.4682  1 S 1.46
O: 0.0543 0.6042 0.8270  1 S 1.46
Cu: 0.9236 0.1852 0.1706  1 S 2.11, 1 Cl 2.15
Cl: 0.2316 0.3683 0.4060  2 Cu 2.15-2.18
Cl: 0.5099 0.3060 0.9475  1 S 2.20, 1 Cu 2.45
S: 0.6254 0.9782 0.9355  2 Cu 2.11-2.13, 1 Cl 2.20

=====

(6)
Cu3Se2Cl2O6 | PBE | relaxed

Summary:
space group: No. 12
total magnetization: 0.8 μB/cell
E_form (uncorrected): -0.633 eV per atom
density of states at the Fermi level: 2.8 states/eV/f.u.

Unit cell a=5.4778 b=5.4778 c=8.0460 alpha=77.86 beta=77.86 gamma=69.44
Closest atoms and distances in Å follow each position.
Fractional positions:
Cu: 0.0000 0.0000 0.0000  4 O 1.95
O: 0.1076 0.7269 0.8543  1 Se 1.80, 2 Cu 1.95
Se: 0.1768 0.1768 0.2519  3 O 1.70-1.80
Se: 0.8232 0.8232 0.7481  3 O 1.70-1.80
Cu: 0.5727 0.5727 0.1755  3 O 1.95-2.07
O: 0.2731 0.8924 0.1457  1 Se 1.80, 2 Cu 1.95
Cl: 0.2839 0.2839 0.6386  1 Cu 2.21
Cu: 0.4273 0.4273 0.8245  3 O 1.95-2.07
O: 0.3589 0.3589 0.1250  1 Se 1.70
O: 0.7269 0.1076 0.8543  1 Se 1.80, 2 Cu 1.95
O: 0.6411 0.6411 0.8750  1 Se 1.70
Cl: 0.7161 0.7161 0.3614  1 Cu 2.21
O: 0.8924 0.2731 0.1457  1 Se 1.80, 2 Cu 1.95

=====

Which of these has the lowest E_form (uncorrected)?
Cu3Se2Cl2O6